1.
BaCdTeOs2: optimized geometry, PBE.

It has space group P4/mmm (No. 123), with a = 5.0602 Å, b = 5.0602 Å, c = 6.1766 Å, α = 90.00°, β = 90.00° and γ = 90.00°. The distinct sites, in fractional coordinates, are Ba at (0.0000, 0.0000, 0.0000), Cd at (0.0000, 0.0000, 0.5000), Te at (0.5000, 0.5000, 0.0000) and Os at (0.0000, 0.5000, 0.5000).

Its density is 7.956 g/cm³. The raw formation energy is 1707.8 meV/atom.


2.
Ce12MgRh7: optimized geometry, PBE.

It has space group R-3 (No. 148, hexagonal axes), with a = 13.7570 Å, b = 13.7570 Å, c = 8.1259 Å, α = 90.00°, β = 90.00° and γ = 120.00°. The distinct sites, in fractional coordinates, are Ce at (0.0324, 0.1811, 0.2808), Ce at (0.0520, 0.4388, 0.2529), Mg at (0.0000, 0.0000, 0.0000), Rh at (0.0000, 0.0000, 0.5000) and Rh at (0.0661, 0.2299, 0.9186).

Its density is 9.074 g/cm³. The calculation puts the energy of formation from the pure elements at -464 meV/atom.


3.
DyHo2ErTm5: optimized geometry, PBE.

It has space group Cmc2_1 (No. 36), with a = 5.5112 Å, b = 19.5365 Å, c = 10.4473 Å, α = 90.00°, β = 90.00° and γ = 90.00°. The distinct sites, in fractional coordinates, are Dy at (0.0000, 0.2004, 0.0000), Ho at (0.0000, 0.1096, 0.7258), Ho at (0.0000, 0.1128, 0.3077), Er at (0.0000, 0.4137, 0.4453), Tm at (0.0000, 0.0186, 0.0142), Tm at (0.0000, 0.2817, 0.2958), Tm at (0.0000, 0.3007, 0.6980), Tm at (0.0000, 0.3908, 0.0112) and Tm at (0.0000, 0.4792, 0.7263).

Its density is 8.883 g/cm³. The calculation puts the energy of formation from the pure elements at 159 meV/atom.


4.
Er2ScZn: optimized geometry, PBE.

It has space group Fm-3m (No. 225), with a = 7.3157 Å, b = 7.3157 Å, c = 7.3157 Å, α = 90.00°, β = 90.00° and γ = 90.00°. The distinct sites, in fractional coordinates, are Er at (0.2500, 0.2500, 0.2500), Sc at (0.0000, 0.0000, 0.0000) and Zn at (0.0000, 0.0000, 0.5000).

Its density is 7.547 g/cm³. The calculation puts the energy of formation from the pure elements at -3 meV/atom. The value obtained for the energy above the most stable polymorph in this dataset is 146 meV per atom.


5.
PrCd4Hg7: optimized geometry, PBE.

It has space group P-1 (No. 2), with a = 5.9615 Å, b = 6.5804 Å, c = 7.9838 Å, α = 102.17°, β = 93.68° and γ = 99.56°. The distinct sites, in fractional coordinates, are Pr at (0.0000, 0.0000, 0.0000), Cd at (0.2277, 0.2536, 0.6852), Cd at (0.3250, 0.4212, 0.3382), Hg at (0.0000, 0.5000, 0.0000), Hg at (0.1780, 0.7336, 0.6478), Hg at (0.2942, 0.9350, 0.3420) and Hg at (0.4760, 0.7502, 0.9900).

Its density is 11.029 g/cm³. The calculation puts the energy of formation from the pure elements at -114 meV/atom. The value obtained for the energy above the most stable polymorph in this dataset is 0 meV per atom.


6.
Pm2TiTc2N6: optimized geometry, PBE.

It has space group R-3m (No. 166, hexagonal axes), with a = 5.9184 Å, b = 5.9184 Å, c = 16.1413 Å, α = 90.00°, β = 90.00° and γ = 120.00°. The distinct sites, in fractional coordinates, are Pm at (0.0000, 0.0000, 0.2008), Ti at (0.0000, 0.0000, 0.0000), Tc at (0.0000, 0.0000, 0.4311) and N at (0.0274, 0.5137, 0.7484).

Its density is 6.287 g/cm³. The raw formation energy is -551.1 meV/atom.


7.
Li2Mg8Cd: optimized geometry, PBE.

It has space group C2/m (No. 12), with a = 14.3256 Å, b = 5.0119 Å, c = 7.7157 Å, α = 90.00°, β = 121.66° and γ = 90.00°. The distinct sites, in fractional coordinates, are Li at (0.2282, 0.0000, 0.1401), Mg at (0.0504, 0.0000, 0.2251), Mg at (0.0969, 0.5000, 0.9576), Mg at (0.1390, 0.0000, 0.6928), Mg at (0.1815, 0.5000, 0.4195) and Cd at (0.0000, 0.5000, 0.5000).

Its density is 2.259 g/cm³. The calculation puts the energy of formation from the pure elements at -47 meV/atom. The value obtained for the energy above the most stable polymorph in this dataset is 0 meV per atom.


8.
PmTmPdPt: optimized geometry, PBE.

It has space group Amm2 (No. 38), with a = 4.5111 Å, b = 3.7847 Å, c = 10.6591 Å, α = 90.00°, β = 90.00° and γ = 90.00°. The distinct sites, in fractional coordinates, are Pm at (0.0000, 0.0000, 0.0000), Tm at (0.5000, 0.0000, 0.7255), Pd at (0.5000, 0.0000, 0.4470) and Pt at (0.0000, 0.0000, 0.2730).

Its density is 11.231 g/cm³. The calculation puts the energy of formation from the pure elements at -1069 meV/atom. The value obtained for the energy above the most stable polymorph in this dataset is 0 meV per atom.